1.
MgRuRhO after structural relaxation. Source: Alexandria, functional GGA-PBE.

Cell lengths 2.737, 2.787, 13.332 Å; angles 90.00, 90.00, 90.00 degrees
Fractional coordinates of all 8 atoms:
Mg1 0.500 0.000 0.499
Mg2 0.500 0.500 0.999
Ru1 0.500 0.000 0.800
Ru2 0.500 0.500 0.300
Rh1 0.000 0.000 0.171
Rh2 0.000 0.500 0.671
O1 0.000 0.000 0.938
O2 0.000 0.500 0.438

Summary:
Energy relative to the lowest polymorph listed for this composition, eV/atom: 0.1305
Symmetry: No. 38
Spin magnetization, μB/atom: 0.000
Formation energy without anion corrections, eV per atom: -0.71
DOS at the Fermi energy, states/eV per atom: 0.5119

---

2.
NpTeI2O6 after structural relaxation. Source: Alexandria, functional GGA-PBE.

Cell lengths 5.742, 5.468, 9.906 Å; angles 57.31, 59.70, 87.41 degrees
Site moments in Bohr magnetons follow the coordinates.
Fractional coordinates of all 10 atoms:
Np1 0.000 0.000 0.000  0.95
Te1 0.500 0.500 0.000  0.04
I1 0.751 0.070 0.577  0.01
I2 0.249 0.930 0.423  0.01
O1 0.265 0.130 0.747  -0.04
O2 0.688 0.708 0.041  0.00
O3 0.171 0.624 0.103  0.01
O4 0.829 0.376 0.897  0.01
O5 0.312 0.292 0.959  0.00
O6 0.735 0.870 0.253  -0.04

Summary:
Symmetry: No. 2
Spin magnetization, μB/atom: 0.099
Formation energy without anion corrections, eV per atom: -1.26
DOS at the Fermi energy, states/eV per atom: 0.5532

---

3.
ZnHgC4Se4N4 after structural relaxation. Source: Alexandria, functional GGA-PBE.

Cell lengths 8.514, 8.514, 8.514 Å; angles 95.50, 95.50, 143.93 degrees
Fractional coordinates of all 14 atoms:
Zn1 0.250 0.750 0.500
Hg1 0.000 0.000 0.000
C1 0.382 0.157 0.345
C2 0.812 0.037 0.655
C3 0.963 0.618 0.775
C4 0.843 0.188 0.225
Se1 0.468 0.403 0.266
Se2 0.137 0.201 0.734
Se3 0.799 0.532 0.936
Se4 0.597 0.863 0.064
N1 0.332 0.003 0.401
N2 0.602 0.931 0.599
N3 0.069 0.668 0.671
N4 0.997 0.398 0.329

Summary:
Symmetry: No. 82
Spin magnetization, μB/atom: 0.000
Formation energy without anion corrections, eV per atom: 0.21
DOS at the Fermi energy, states/eV per atom: 0.0000

---

4.
NdPuCuAu after structural relaxation. Source: Alexandria, functional GGA-PBE.

Cell lengths 5.132, 5.132, 5.132 Å; angles 60.00, 60.00, 60.00 degrees
Site moments in Bohr magnetons follow the coordinates.
Fractional coordinates of all 4 atoms:
Nd1 0.250 0.250 0.250  0.09
Au1 0.500 0.500 0.500  0.01
Cu1 0.000 0.000 0.000  0.01
Pu1 0.750 0.750 0.750  5.38

Summary:
Symmetry: No. 216
Spin magnetization, μB/atom: 1.457
E_form, eV per atom: -0.26
DOS at the Fermi energy, states/eV per atom: 2.6082

---

5.
Pm4Nd4Sm3 after structural relaxation. Source: Alexandria, functional GGA-PBE.

Cell lengths 3.657, 9.621, 12.230 Å; angles 113.16, 98.60, 90.00 degrees
Fractional coordinates of all 11 atoms:
Pm1 0.740 0.240 0.479
Pm2 0.260 0.760 0.521
Pm3 0.500 0.815 0.000
Pm4 0.500 0.185 0.000
Nd1 0.645 0.469 0.289
Nd2 0.355 0.180 0.711
Nd3 0.355 0.531 0.711
Nd4 0.645 0.820 0.289
Sm1 0.892 0.892 0.785
Sm2 0.108 0.108 0.215
Sm3 0.000 0.500 0.000

Summary:
Energy relative to the lowest polymorph listed for this composition, eV/atom: 0.0000
Symmetry: No. 71
Spin magnetization, μB/atom: 0.000
E_form, eV per atom: 0.13
DOS at the Fermi energy, states/eV per atom: 1.5017

---

6.
Mg2VAs after structural relaxation. Source: Alexandria, functional GGA-PBE.

Cell lengths 8.460, 8.460, 6.484 Å; angles 49.28, 49.28, 90.00 degrees
Site moments in Bohr magnetons follow the coordinates.
Fractional coordinates of all 8 atoms:
As1 0.000 0.000 0.000  -0.09
As2 0.750 0.250 0.500  -0.09
Mg1 0.704 0.125 0.250  -0.03
Mg2 0.046 0.625 0.250  -0.03
Mg3 0.375 0.296 0.750  -0.03
Mg4 0.875 0.954 0.750  -0.03
V1 0.500 0.500 0.000  2.38
V2 0.250 0.750 0.500  2.38

Summary:
Symmetry: No. 122
Spin magnetization, μB/atom: 0.647
E_form, eV per atom: 0.23
DOS at the Fermi energy, states/eV per atom: 1.0451

---

7.
CeTmHfMg after structural relaxation. Source: Alexandria, functional GGA-PBE.

Cell lengths 5.260, 5.260, 5.260 Å; angles 60.00, 60.00, 60.00 degrees
Site moments in Bohr magnetons follow the coordinates.
Fractional coordinates of all 4 atoms:
Mg1 0.000 0.000 0.000  -0.01
Tm1 0.250 0.250 0.250  0.13
Hf1 0.500 0.500 0.500  0.25
Ce1 0.750 0.750 0.750  0.26

Summary:
Symmetry: No. 216
Spin magnetization, μB/atom: 0.194
E_form, eV per atom: 0.16
DOS at the Fermi energy, states/eV per atom: 1.9498

---

8.
MgSb2As2Pd7 after structural relaxation. Source: Alexandria, functional GGA-PBE.

Cell lengths 3.927, 3.927, 15.468 Å; angles 82.64, 82.64, 89.98 degrees
Fractional coordinates of all 12 atoms:
Mg1 0.000 0.000 0.000
Sb1 0.786 0.786 0.426
Sb2 0.214 0.214 0.574
As1 0.618 0.618 0.767
As2 0.382 0.382 0.233
Pd1 0.500 0.500 0.000
Pd2 0.301 0.301 0.396
Pd3 0.699 0.699 0.604
Pd4 0.931 0.430 0.136
Pd5 0.430 0.931 0.136
Pd6 0.570 0.069 0.864
Pd7 0.069 0.570 0.864

Summary:
Symmetry: No. 12
Spin magnetization, μB/atom: 0.000
Formation energy without anion corrections, eV per atom: -0.40
DOS at the Fermi energy, states/eV per atom: 0.6054

---

9.
InTePt2 after structural relaxation. Source: Alexandria, functional GGA-PBE.

Cell lengths 4.799, 4.799, 4.799 Å; angles 60.00, 60.00, 60.00 degrees
Fractional coordinates of all 4 atoms:
Te1 0.500 0.500 0.500
Pt1 0.250 0.250 0.250
Pt2 0.750 0.750 0.750
In1 0.000 0.000 0.000

Summary:
Energy relative to the lowest polymorph listed for this composition, eV/atom: 0.2512
Symmetry: No. 225
Spin magnetization, μB/atom: 0.000
Formation energy without anion corrections, eV per atom: -0.04
DOS at the Fermi energy, states/eV per atom: 0.9764

---

10.
LaCdFe after structural relaxation. Source: Alexandria, functional GGA-PBE.

Cell lengths 4.731, 4.731, 4.731 Å; angles 60.00, 60.00, 60.00 degrees
Site moments in Bohr magnetons follow the coordinates.
Fractional coordinates of all 3 atoms:
Cd1 0.500 0.500 0.500  -0.04
Fe1 0.750 0.750 0.750  1.99
La1 0.000 0.000 0.000  -0.14

Summary:
Symmetry: No. 216
Spin magnetization, μB/atom: 0.545
E_form, eV per atom: 0.29
DOS at the Fermi energy, states/eV per atom: 2.5708

---

11.
SiNiSe after structural relaxation. Source: Alexandria, functional GGA-PBE.

Cell lengths 3.682, 3.682, 4.629 Å; angles 90.00, 90.00, 120.00 degrees
Fractional coordinates of all 3 atoms:
Ni1 0.000 0.000 0.972
Se1 0.667 0.333 0.226
Si1 0.333 0.667 0.802

Summary:
Symmetry: No. 156
Spin magnetization, μB/atom: 0.000
Formation energy without anion corrections, eV per atom: -0.06
DOS at the Fermi energy, states/eV per atom: 0.4702

---

12.
Ga2CuGeO after structural relaxation. Source: Alexandria, functional GGA-PBE.

Cell lengths 4.732, 3.666, 4.732 Å; angles 90.00, 90.00, 90.00 degrees
Fractional coordinates of all 5 atoms:
O1 0.000 0.000 0.000
Ge1 0.500 0.500 0.500
Cu1 0.000 0.500 0.000
Ga1 0.000 0.000 0.500
Ga2 0.500 0.000 0.000

Summary:
Symmetry: No. 123
Spin magnetization, μB/atom: 0.000
Formation energy without anion corrections, eV per atom: -0.12
DOS at the Fermi energy, states/eV per atom: 0.4224